This record from Alexandria via LeMat-Bulk describes a relaxed structure of PaVOsO6. The functional is PBE with a Hubbard U.

Values from the calculation:
**VASP energy**: -8.492 eV/atom

a b c (Å): 5.361 5.361 8.765
angles (deg): 90.00 90.00 120.00
Positions (direct):
Pa: 0.333 0.667 0.250
Pa: 0.667 0.333 0.750
V: 0.333 0.667 0.750
V: 0.667 0.333 0.250
Os: 0.000 0.000 0.000
Os: 0.000 0.000 0.500
O: 0.019 0.331 0.624
O: 0.019 0.688 0.876
O: 0.312 0.331 0.876
O: 0.312 0.981 0.624
O: 0.331 0.019 0.124
O: 0.331 0.312 0.376
O: 0.669 0.688 0.624
O: 0.669 0.981 0.876
O: 0.688 0.019 0.376
O: 0.688 0.669 0.124
O: 0.981 0.312 0.124
O: 0.981 0.669 0.376